Record 1
First-principles (GGA-PBE) data for a relaxed LiMnIn2Rh crystal, as listed in Alexandria via LeMat-Bulk.

Cell: 4.5863 4.2956 4.5863 Å, 90.00 90.00 90.00°
Element x y z (fractional)
Mn  0.0000  0.5000  0.0000
Rh  0.5000  0.5000  0.5000
Li  0.0000  0.0000  0.0000
In  0.0000  0.0000  0.5000
In  0.5000  0.0000  0.0000

E_form	15.42	kcal/mol of atoms


Record 2
First-principles (GGA-PBE) data for a relaxed LiMn2InS crystal, as listed in Alexandria via LeMat-Bulk.

Cell: 5.1304 5.3565 5.1304 Å, 90.00 90.00 90.00°
Element x y z (fractional)
S  0.0000  0.5000  0.0000
Mn  0.0000  0.0000  0.5000
Mn  0.5000  0.0000  0.0000
Li  0.5000  0.5000  0.5000
In  0.0000  0.0000  0.0000

raw formation energy	0.84	eV/atom


Record 3
First-principles (GGA-PBE) data for a relaxed Li2MnInS4 crystal, as listed in Alexandria via LeMat-Bulk.

Cell: 3.6780 6.3267 6.4386 Å, 108.97 90.00 90.00°
Element x y z (fractional)
Li  0.5000  0.0000  0.5000
Li  0.0000  0.5000  0.5000
Mn  0.0000  0.0000  0.0000
In  0.5000  0.5000  0.0000
S  0.5000  0.2342  0.2360
S  0.5000  0.7658  0.7640
S  0.0000  0.2329  0.7636
S  0.0000  0.7671  0.2364

raw formation energy	-0.84	eV/atom


Record 4
First-principles (GGA-PBE) data for a relaxed LiMnIn4S8 crystal, as listed in Alexandria via LeMat-Bulk.

Cell: 7.6452 7.6452 7.5678 Å, 59.66 59.66 60.00°
Element x y z (fractional)
Li  0.3764  0.3764  0.8708
Mn  0.0063  0.0063  0.9810
In  0.6235  0.6235  0.1296
In  0.0060  0.4816  0.5064
In  0.4816  0.0060  0.5064
In  0.0060  0.0060  0.5064
S  0.2330  0.7719  0.7621
S  0.7719  0.2330  0.7621
S  0.2330  0.2330  0.7621
S  0.2457  0.2457  0.2630
S  0.7695  0.2175  0.2434
S  0.2175  0.7695  0.2434
S  0.7695  0.7695  0.2434
S  0.7600  0.7600  0.7199

raw formation energy	-0.64	eV/atom


Record 5
First-principles (GGA-PBE) data for a relaxed LiMnInS2 crystal, as listed in Alexandria via LeMat-Bulk.

Cell: 4.6901 5.0784 4.6901 Å, 90.00 90.00 90.00°
Element x y z (fractional)
S  0.0000  0.0000  0.5000
S  0.5000  0.0000  0.0000
Mn  0.0000  0.0000  0.0000
Li  0.5000  0.5000  0.5000
In  0.0000  0.5000  0.0000

raw formation energy	-0.10	eV/atom


Record 6
First-principles (GGA-PBE) data for a relaxed LiMnIn2S4 crystal, as listed in Alexandria via LeMat-Bulk.

Cell: 5.8454 5.8454 6.9953 Å, 114.63 114.63 90.14°
Element x y z (fractional)
Li  0.5003  0.5003  0.0005
Mn  0.0001  0.0001  0.0002
In  0.7502  0.2502  0.5004
In  0.2502  0.7502  0.5004
S  0.6424  0.6424  0.7711
S  0.3573  0.8711  0.2284
S  0.8711  0.3573  0.2284
S  0.1288  0.1288  0.7711

raw formation energy	-0.67	eV/atom


Computed values of E (unit: eV/atom) for the preceding records, in sequence: -4.11 -4.59 -4.87 -4.57 -4.52 -4.80.